Record 1
Computed, not measured: crystalline LiRh2S4 at its relaxed geometry at the PBE-GGA level of DFT.

Lattice parameters (Å, degrees): 7.105 7.105 7.105 119.94 119.94 90.10
Positions (direct):
Li  0.375  0.625  0.750
Li  0.625  0.375  0.250
Rh  0.000  0.000  0.000
Rh  0.000  0.000  0.500
Rh  0.000  0.500  0.000
Rh  0.500  0.000  0.500
S  0.210  0.237  0.973
S  0.236  0.763  0.473
S  0.237  0.210  0.473
S  0.237  0.764  0.027
S  0.763  0.236  0.973
S  0.763  0.790  0.527
S  0.764  0.237  0.527
S  0.790  0.763  0.027

The value obtained for the formation energy (no corrections) is -0.596 eV per atom. As for the total magnetic moment: 0.0 μB/f.u. Its symmetry is I4_1/amd.

Record 2
Computed, not measured: crystalline Ac12Ru3Rh5 at its relaxed geometry at the PBE-GGA level of DFT.

Lattice parameters (Å, degrees): 15.211 15.211 15.211 109.47 109.47 109.47
Positions (direct):
Ac  0.044  0.220  0.129
Ac  0.044  0.324  0.915
Ac  0.085  0.629  0.409
Ac  0.085  0.956  0.676
Ac  0.091  0.720  0.676
Ac  0.091  0.871  0.415
Ac  0.129  0.044  0.220
Ac  0.129  0.585  0.909
Ac  0.176  0.220  0.591
Ac  0.176  0.456  0.585
Ac  0.220  0.129  0.044
Ac  0.220  0.591  0.176
Ac  0.280  0.324  0.909
Ac  0.280  0.456  0.371
Ac  0.324  0.909  0.280
Ac  0.324  0.915  0.044
Ac  0.371  0.280  0.456
Ac  0.371  0.591  0.915
Ac  0.409  0.085  0.629
Ac  0.409  0.824  0.780
Ac  0.415  0.091  0.871
Ac  0.415  0.824  0.544
Ac  0.456  0.371  0.280
Ac  0.456  0.585  0.176
Ac  0.544  0.415  0.824
Ac  0.544  0.629  0.720
Ac  0.585  0.176  0.456
Ac  0.585  0.909  0.129
Ac  0.591  0.176  0.220
Ac  0.591  0.915  0.371
Ac  0.629  0.409  0.085
Ac  0.629  0.720  0.544
Ac  0.676  0.085  0.956
Ac  0.676  0.091  0.720
Ac  0.720  0.544  0.629
Ac  0.720  0.676  0.091
Ac  0.780  0.409  0.824
Ac  0.780  0.871  0.956
Ac  0.824  0.544  0.415
Ac  0.824  0.780  0.409
Ac  0.871  0.415  0.091
Ac  0.871  0.956  0.780
Ac  0.909  0.129  0.585
Ac  0.909  0.280  0.324
Ac  0.915  0.044  0.324
Ac  0.915  0.371  0.591
Ac  0.956  0.676  0.085
Ac  0.956  0.780  0.871
Ru  0.125  0.250  0.375
Ru  0.125  0.375  0.750
Ru  0.250  0.375  0.125
Ru  0.250  0.875  0.625
Ru  0.375  0.125  0.250
Ru  0.375  0.750  0.125
Ru  0.625  0.250  0.875
Ru  0.625  0.875  0.750
Ru  0.750  0.125  0.375
Ru  0.750  0.625  0.875
Ru  0.875  0.625  0.250
Ru  0.875  0.750  0.625
Rh  0.000  0.000  0.000
Rh  0.000  0.000  0.500
Rh  0.000  0.500  0.000
Rh  0.000  0.500  0.500
Rh  0.125  0.750  0.875
Rh  0.125  0.875  0.250
Rh  0.250  0.125  0.875
Rh  0.250  0.625  0.375
Rh  0.375  0.250  0.625
Rh  0.375  0.625  0.750
Rh  0.500  0.000  0.000
Rh  0.500  0.000  0.500
Rh  0.500  0.500  0.000
Rh  0.500  0.500  0.500
Rh  0.625  0.375  0.250
Rh  0.625  0.750  0.375
Rh  0.750  0.375  0.625
Rh  0.750  0.875  0.125
Rh  0.875  0.125  0.750
Rh  0.875  0.250  0.125

As for the total magnetic moment: 0.0 μB/f.u. Its symmetry is Ia-3d.

| no. | final energy (eV per atom) |
| --- | --- |
| 1 | -5.328 |
| 2 | -5.837 |